1.
A geometry-optimized MnCd2Mo structure. Source: Alexandria via LeMat-Bulk, functional PBEsol.

offset from the most stable computed form: 0.0713 eV/atom
formation energy from the elements: 0.530 eV/atom
raw total energy: -43.6 eV per cell
density of states at the Fermi level: 0.880 states/eV per atom

```
data_MnCd2Mo
_symmetry_space_group_name_H-M 'I m m m'
_symmetry_Int_Tables_number 71
_symmetry_space_group_name_Hall '-I 2 2'
_cell_length_a 3.047
_cell_length_b 4.537
_cell_length_c 9.584
_cell_angle_alpha 90.00
_cell_angle_beta 90.00
_cell_angle_gamma 90.00
loop_
_atom_site_label
_atom_site_fract_x
_atom_site_fract_y
_atom_site_fract_z
_atom_site_occupancy
Mn1 0.000 0.000 0.000 1
Cd1 0.000 0.500 0.262 1
Mo1 0.000 0.000 0.500 1
```

2.
A geometry-optimized MnCd2Mo structure. Source: Alexandria via LeMat-Bulk, functional PBEsol.

offset from the most stable computed form: 0.0000 eV/atom
formation energy from the elements: 0.459 eV/atom
raw total energy: -44.2 eV per cell
density of states at the Fermi level: 0.842 states/eV per atom

```
data_MnCd2Mo
_symmetry_space_group_name_H-M 'C 1 m 1'
_symmetry_Int_Tables_number 8
_symmetry_space_group_name_Hall 'C -2y'
_cell_length_a 9.150
_cell_length_b 2.777
_cell_length_c 5.272
_cell_angle_alpha 90.00
_cell_angle_beta 97.66
_cell_angle_gamma 90.00
loop_
_atom_site_label
_atom_site_fract_x
_atom_site_fract_y
_atom_site_fract_z
_atom_site_occupancy
Mn1 0.000 0.000 0.000 1
Cd1 0.005 0.500 0.535 1
Cd2 0.249 0.500 0.290 1
Mo1 0.258 0.000 0.818 1
```